First-principles (PBE-GGA) data for a geometry-optimized K2CdIn structure, as listed in Alexandria via LeMat-Bulk.

magnetization	0.0	Bohr magnetons per cell
DFT formation energy	75.3	meV/atom

Structure (CIF):
```
data_K2CdIn
_space_group_name_H-M_alt 'F m -3 m'
_space_group_IT_number 225
_space_group_name_Hall '-F 4 2 3'
_cell_length_a 8.546
_cell_length_b 8.546
_cell_length_c 8.546
_cell_angle_alpha 90.00
_cell_angle_beta 90.00
_cell_angle_gamma 90.00
loop_
_atom_site_label
_atom_site_type_symbol
_atom_site_fract_x
_atom_site_fract_y
_atom_site_fract_z
K1 K 0.250 0.250 0.250
Cd1 Cd 0.000 0.000 0.000
In1 In 0.000 0.000 0.500
```